# 1
First-principles (PBE-GGA) data for ReAs2PAu after structural relaxation, as listed in Alexandria.

As for the volume: 99 Å³/cell. For the energy above the lowest structure with this stoichiometry, the calculation gives 0.311 eV per atom. The formation energy is 328 meV/atom.

a = 4.222 Å, b = 4.980 Å, c = 5.560 Å
α = 116.57°, β = 106.95°, γ = 90.01°
Space group P1 (No. 1)
Asymmetric unit:
Re: 0.000 0.000 0.000 (multiplicity 1)
As: 0.261 0.567 0.132 (multiplicity 1)
As: 0.403 0.861 0.721 (multiplicity 1)
P: 0.051 0.229 0.455 (multiplicity 1)
Au: 0.654 0.381 0.760 (multiplicity 1)

=====

# 2
First-principles (PBE-GGA) data for ReAs2PAu after structural relaxation, as listed in Alexandria.

As for the volume: 95 Å³/cell. For the energy above the lowest structure with this stoichiometry, the calculation gives 0.000 eV per atom. The formation energy is 17 meV/atom.

a = 3.124 Å, b = 7.466 Å, c = 4.226 Å
α = 90.00°, β = 105.85°, γ = 90.00°
Space group Pm (No. 6)
Asymmetric unit:
Re: 0.000 0.000 0.000 (multiplicity 1)
As: 0.491 0.282 0.967 (multiplicity 2)
P: 0.669 0.000 0.428 (multiplicity 1)
Au: 0.499 0.500 0.465 (multiplicity 1)

=====

# 3
First-principles (PBE-GGA) data for AsPRhAuS after structural relaxation, as listed in Alexandria.

As for the volume: 92 Å³/cell. For the energy above the lowest structure with this stoichiometry, the calculation gives 0.039 eV per atom. As for the energy relative to the elements, uncorrected: -9.4 kJ/mol of atoms.

a = 3.592 Å, b = 4.677 Å, c = 5.967 Å
α = 104.81°, β = 107.44°, γ = 90.05°
Space group P1 (No. 1)
Asymmetric unit:
As: 0.000 0.000 0.000 (multiplicity 1)
P: 0.686 0.567 0.377 (multiplicity 1)
Rh: 0.228 0.304 0.461 (multiplicity 1)
Au: 0.477 0.562 0.957 (multiplicity 1)
S: 0.785 0.029 0.575 (multiplicity 1)

=====

# 4
First-principles (PBE-GGA) data for AsPRhAuS after structural relaxation, as listed in Alexandria.

As for the volume: 108 Å³/cell. For the energy above the lowest structure with this stoichiometry, the calculation gives 0.036 eV per atom. As for the energy relative to the elements, uncorrected: -9.7 kJ/mol of atoms.

a = 4.147 Å, b = 4.530 Å, c = 6.496 Å
α = 106.31°, β = 92.60°, γ = 111.14°
Space group P1 (No. 1)
Asymmetric unit:
As: 0.000 0.000 0.000 (multiplicity 1)
P: 0.524 0.612 0.729 (multiplicity 1)
Rh: 0.387 0.069 0.731 (multiplicity 1)
Au: 0.783 0.452 0.146 (multiplicity 1)
S: 0.825 0.828 0.507 (multiplicity 1)

=====

# 5
First-principles (PBE-GGA) data for AsPRhAuS after structural relaxation, as listed in Alexandria.

As for the volume: 185 Å³/cell. For the energy above the lowest structure with this stoichiometry, the calculation gives 0.010 eV per atom. As for the energy relative to the elements, uncorrected: -12.2 kJ/mol of atoms.

a = 6.344 Å, b = 3.695 Å, c = 8.152 Å
α = 90.00°, β = 104.96°, γ = 90.00°
Space group Cm (No. 8)
Asymmetric unit:
As: 0.000 0.000 0.000 (multiplicity 2)
P: 0.060 0.500 0.659 (multiplicity 2)
Rh: 0.266 0.000 0.777 (multiplicity 2)
Au: 0.238 0.500 0.209 (multiplicity 2)
S: 0.467 0.000 0.395 (multiplicity 2)

=====

# 6
First-principles (PBE-GGA) data for AsPRhAuS after structural relaxation, as listed in Alexandria.

As for the volume: 190 Å³/cell. For the energy above the lowest structure with this stoichiometry, the calculation gives 0.011 eV per atom. As for the energy relative to the elements, uncorrected: -12.1 kJ/mol of atoms.

a = 7.820 Å, b = 3.460 Å, c = 7.087 Å
α = 90.00°, β = 97.25°, γ = 90.00°
Space group Cm (No. 8)
Asymmetric unit:
As: 0.000 0.000 0.000 (multiplicity 2)
P: 0.222 0.000 0.675 (multiplicity 2)
Rh: 0.035 0.500 0.739 (multiplicity 2)
Au: 0.217 0.500 0.169 (multiplicity 2)
S: 0.347 0.000 0.431 (multiplicity 2)